(1)
This record from Alexandria describes a PBEsol-optimized structure of TiReC3. The functional is meta-GGA SCAN.

Space-group type = Pm-3m, No. 221
D(E_F) = 3.933 states/eV/cell
Energy relative to the elements = 1.43 eV per atom

a b c (Å): 3.928 3.928 3.928
angles (deg): 90.00 90.00 90.00
Each line ends with the local moment (μB).
Element x y z (fractional)
C1 0.000 0.500 0.000  -0.07
C2 0.000 0.000 0.500  -0.07
C3 0.500 0.000 0.000  -0.07
Ti1 0.500 0.500 0.500  1.26
Re1 0.000 0.000 0.000  0.07

(2)
This record from Alexandria describes a PBEsol-optimized structure of Ca2InAs. The functional is meta-GGA SCAN.

Space-group type = Imm2, No. 44
D(E_F) = 1.943 states/eV/cell
Energy relative to the elements = -0.71 eV per atom

a b c (Å): 3.845 4.739 6.474
angles (deg): 111.47 107.28 90.00
Element x y z (fractional)
In1 0.547 0.547 0.095
Ca1 0.750 0.250 0.500
Ca2 0.964 0.964 0.928
As1 0.239 0.739 0.478

(3)
This record from Alexandria describes a PBEsol-optimized structure of CaSb2Ru. The functional is meta-GGA SCAN.

Space-group type = Pmm2, No. 25
D(E_F) = 2.674 states/eV/cell
E_form (uncorrected) = -0.13 eV/atom

a b c (Å): 3.324 5.107 5.255
angles (deg): 90.00 90.00 90.00
Element x y z (fractional)
Sb1 0.500 0.000 0.038
Sb2 0.500 0.500 0.720
Ru1 0.500 0.500 0.228
Ca1 0.000 0.000 0.514

(4)
This record from Alexandria describes a PBEsol-optimized structure of SbPtI2F. The functional is meta-GGA SCAN.

Space-group type = P4/mmm, No. 123
D(E_F) = 4.220 states/eV/cell
E_form (uncorrected) = 0.49 eV/atom

a b c (Å): 4.132 5.483 5.483
angles (deg): 90.00 90.00 90.00
Element x y z (fractional)
Pt1 0.500 0.500 0.500
I1 0.000 0.500 0.000
I2 0.000 0.000 0.500
Sb1 0.500 0.000 0.000
F1 0.000 0.000 0.000